Version a
This record from Alexandria via LeMat-Bulk describes a relaxed TcBIO2 crystal. The functional is PBE.

## Properties
Total moment (μB per cell): 0.28
SG: No. 123

abc: 3.789 3.789 6.017
angles: 90.00 90.00 90.00
Last column: magnetic moment on the atom in μB.
Fractional positions:
I 0.000 0.000 0.500  0.01
B 0.500 0.500 0.500  0.07
Tc 0.000 0.000 0.000  0.07
O 0.000 0.500 0.000  0.00
O 0.500 0.000 0.000  0.00

Version b
This record from Alexandria via LeMat-Bulk describes a relaxed TcBIO2 crystal. The functional is PBE.

## Properties
Total moment (μB per cell): 2.61
SG: No. 123

abc: 3.512 3.512 6.446
angles: 90.00 90.00 90.00
Last column: magnetic moment on the atom in μB.
Fractional positions:
I 0.000 0.000 0.500  0.06
B 0.000 0.000 0.000  -0.04
Tc 0.500 0.500 0.500  1.71
O 0.000 0.500 0.000  0.27
O 0.500 0.000 0.000  0.27

Which one is most stable, and which one is least stable? version a is the most stable of them, while version b is the least stable.

Version a
This record from Alexandria via LeMat-Bulk describes a relaxed TiBI2O crystal. The functional is PBE.

## Properties
Total moment (μB per cell): 0.93
SG: No. 123

abc: 5.659 5.659 3.743
angles: 90.00 90.00 90.00
Last column: magnetic moment on the atom in μB.
Fractional positions:
I 0.000 0.500 0.000  -0.02
I 0.500 0.000 0.000  -0.02
B 0.500 0.500 0.500  0.10
O 0.000 0.000 0.500  -0.04
Ti 0.000 0.000 0.000  0.65

Version b
This record from Alexandria via LeMat-Bulk describes a relaxed TiBI2O crystal. The functional is PBE.

## Properties
Total moment (μB per cell): 2.47
SG: No. 123

abc: 5.410 5.410 3.221
angles: 90.00 90.00 90.00
Last column: magnetic moment on the atom in μB.
Fractional positions:
I 0.000 0.500 0.000  -0.05
I 0.500 0.000 0.000  -0.05
B 0.000 0.000 0.000  0.07
O 0.000 0.000 0.500  0.02
Ti 0.500 0.500 0.500  1.83

Which one is most stable, and which one is least stable? version a is the most stable of them, while version b is the least stable.

Version a
This record from Alexandria via LeMat-Bulk describes a relaxed TiBIO2 crystal. The functional is PBE.

## Properties
Total moment (μB per cell): 0.00
SG: No. 123

abc: 3.750 3.750 4.592
angles: 90.00 90.00 90.00
Fractional positions:
I 0.000 0.000 0.500
B 0.000 0.000 0.000
O 0.000 0.500 0.000
O 0.500 0.000 0.000
Ti 0.500 0.500 0.500

Version b
This record from Alexandria via LeMat-Bulk describes a relaxed TiBIO2 crystal. The functional is PBE.

## Properties
Total moment (μB per cell): 0.00
SG: No. 123

abc: 3.802 3.802 5.937
angles: 90.00 90.00 90.00
Fractional positions:
I 0.000 0.000 0.500
B 0.500 0.500 0.500
O 0.000 0.500 0.000
O 0.500 0.000 0.000
Ti 0.000 0.000 0.000

Which one is most stable, and which one is least stable? version b is the most stable of them, while version a is the least stable.

Version a
This record from Alexandria via LeMat-Bulk describes a relaxed TlBIO2 crystal. The functional is PBE.

## Properties
Total moment (μB per cell): 0.00
SG: No. 123

abc: 4.094 4.094 7.196
angles: 90.00 90.00 90.00
Fractional positions:
I 0.000 0.000 0.500
Tl 0.000 0.000 0.000
B 0.500 0.500 0.500
O 0.000 0.500 0.000
O 0.500 0.000 0.000

Version b
This record from Alexandria via LeMat-Bulk describes a relaxed TlBIO2 crystal. The functional is PBE.

## Properties
Total moment (μB per cell): 0.45
SG: No. 123

abc: 4.019 4.019 4.716
angles: 90.00 90.00 90.00
Last column: magnetic moment on the atom in μB.
Fractional positions:
I 0.000 0.000 0.500  0.00
Tl 0.500 0.500 0.500  0.00
B 0.000 0.000 0.000  0.03
O 0.000 0.500 0.000  -0.21
O 0.500 0.000 0.000  -0.21

Which one is most stable, and which one is least stable? version b is the most stable of them, while version a is the least stable.

Version a
This record from Alexandria via LeMat-Bulk describes a relaxed TlBI2O crystal. The functional is PBE.

## Properties
Total moment (μB per cell): 0.00
SG: No. 123

abc: 6.144 6.144 4.091
angles: 90.00 90.00 90.00
Fractional positions:
I 0.000 0.500 0.000
I 0.500 0.000 0.000
Tl 0.000 0.000 0.000
B 0.500 0.500 0.500
O 0.000 0.000 0.500

Version b
This record from Alexandria via LeMat-Bulk describes a relaxed TlBI2O crystal. The functional is PBE.

## Properties
Total moment (μB per cell): 0.66
SG: No. 123

abc: 6.985 6.985 2.901
angles: 90.00 90.00 90.00
Last column: magnetic moment on the atom in μB.
Fractional positions:
I 0.000 0.500 0.000  0.00
I 0.500 0.000 0.000  0.00
Tl 0.500 0.500 0.500  0.00
B 0.000 0.000 0.000  0.35
O 0.000 0.000 0.500  -0.02

Which one is most stable, and which one is least stable? version b is the most stable of them, while version a is the least stable.